Record 1
This record from Alexandria describes an optimized crystal structure of Ga2RuAu. The functional is PBE.

a = 3.137 Å, b = 3.137 Å, c = 6.301 Å
α = 90.00°, β = 90.00°, γ = 90.00°
Sites, in units of the cell vectors:
Ru  0.500  0.500  0.000
Au  0.500  0.500  0.500
Ga  0.000  0.000  0.777
Ga  0.000  0.000  0.223

Its crystal system is tetragonal.

Record 2
This record from Alexandria describes an optimized crystal structure of Ga2RuAu2. The functional is PBE.

a = 6.721 Å, b = 6.721 Å, c = 3.698 Å
α = 90.00°, β = 90.00°, γ = 90.00°
Sites, in units of the cell vectors:
Ru  0.000  0.000  0.000
Ru  0.500  0.500  0.000
Au  0.161  0.661  0.500
Au  0.661  0.839  0.500
Au  0.839  0.339  0.500
Au  0.339  0.161  0.500
Ga  0.354  0.854  0.000
Ga  0.854  0.646  0.000
Ga  0.646  0.146  0.000
Ga  0.146  0.354  0.000

Its crystal system is tetragonal.

Record 3
This record from Alexandria describes an optimized crystal structure of Ga2RuAu. The functional is PBE.

a = 2.786 Å, b = 2.786 Å, c = 10.359 Å
α = 82.27°, β = 82.27°, γ = 60.00°
Each line ends with the local moment (μB).
Sites, in units of the cell vectors:
Ru  0.000  0.000  0.000  0.57
Au  0.500  0.500  0.500  -0.01
Ga  0.083  0.083  0.751  -0.01
Ga  0.917  0.917  0.249  -0.01

Its crystal system is trigonal.

Record 4
This record from Alexandria describes an optimized crystal structure of Ga2RuAu. The functional is PBE.

a = 2.989 Å, b = 2.989 Å, c = 8.461 Å
α = 79.82°, β = 79.82°, γ = 60.00°
Sites, in units of the cell vectors:
Ga  0.076  0.076  0.773
Ga  0.257  0.257  0.229
Ru  0.666  0.666  0.001
Au  0.501  0.501  0.496

Its crystal system is trigonal.

Record 5
This record from Alexandria describes an optimized crystal structure of Ga2RuAu. The functional is PBE.

a = 3.517 Å, b = 4.175 Å, c = 4.175 Å
α = 90.00°, β = 90.00°, γ = 90.00°
Sites, in units of the cell vectors:
Ru  0.500  0.000  0.000
Au  0.500  0.500  0.500
Ga  0.000  0.000  0.500
Ga  0.000  0.500  0.000

Its crystal system is tetragonal.

Record 6
This record from Alexandria describes an optimized crystal structure of Ga2RuAu. The functional is PBE.

a = 6.922 Å, b = 6.922 Å, c = 5.670 Å
α = 52.38°, β = 52.38°, γ = 90.00°
Sites, in units of the cell vectors:
Ru  0.500  0.500  0.000
Ru  0.250  0.750  0.500
Au  0.000  0.000  0.000
Au  0.750  0.250  0.500
Ga  0.615  0.125  0.250
Ga  0.135  0.625  0.250
Ga  0.375  0.385  0.750
Ga  0.875  0.865  0.750

Its crystal system is tetragonal.

Record 7
This record from Alexandria describes an optimized crystal structure of GaRuAu2S. The functional is PBE.

a = 5.039 Å, b = 4.756 Å, c = 5.039 Å
α = 90.00°, β = 90.00°, γ = 90.00°
Each line ends with the local moment (μB).
Sites, in units of the cell vectors:
Ru  0.000  0.000  0.000  1.23
S  0.500  0.500  0.500  0.31
Au  0.000  0.000  0.500  0.28
Au  0.500  0.000  0.000  0.07
Ga  0.000  0.500  0.000  -0.03

As for the uncorrected formation energy: 1.040 eV per atom. Its crystal system is tetragonal.

Record 8
This record from Alexandria describes an optimized crystal structure of ScGaRuAu. The functional is PBE.

a = 4.531 Å, b = 4.531 Å, c = 4.531 Å
α = 60.00°, β = 60.00°, γ = 60.00°
Sites, in units of the cell vectors:
Sc  0.250  0.250  0.250
Ru  0.500  0.500  0.500
Au  0.000  0.000  0.000
Ga  0.750  0.750  0.750

Its crystal system is cubic.

Record 9
This record from Alexandria describes an optimized crystal structure of Ga2SiRuAu. The functional is PBE.

a = 4.831 Å, b = 4.713 Å, c = 4.831 Å
α = 90.00°, β = 90.00°, γ = 90.00°
Each line ends with the local moment (μB).
Sites, in units of the cell vectors:
Ru  0.500  0.500  0.500  1.81
Si  0.000  0.500  0.000  -0.06
Au  0.000  0.000  0.000  -0.03
Ga  0.000  0.000  0.500  -0.02
Ga  0.500  0.000  0.000  -0.01

As for the uncorrected formation energy: 1.106 eV per atom. Its crystal system is tetragonal.

Record 10
This record from Alexandria describes an optimized crystal structure of TiGaRuAu. The functional is PBE.

a = 4.448 Å, b = 4.448 Å, c = 4.448 Å
α = 60.00°, β = 60.00°, γ = 60.00°
Sites, in units of the cell vectors:
Ru  0.500  0.500  0.500
Au  0.000  0.000  0.000
Ga  0.750  0.750  0.750
Ti  0.250  0.250  0.250

Its crystal system is cubic.

Record 11
This record from Alexandria describes an optimized crystal structure of TlGaRuAu2. The functional is PBE.

a = 4.859 Å, b = 4.789 Å, c = 4.859 Å
α = 90.00°, β = 90.00°, γ = 90.00°
Each line ends with the local moment (μB).
Sites, in units of the cell vectors:
Ru  0.000  0.500  0.000  1.52
Tl  0.500  0.500  0.500  0.04
Au  0.000  0.000  0.500  0.00
Au  0.500  0.000  0.000  0.06
Ga  0.000  0.000  0.000  -0.03

Its crystal system is tetragonal.

Record 12
This record from Alexandria describes an optimized crystal structure of ZnGaRuAu. The functional is PBE.

a = 4.388 Å, b = 4.388 Å, c = 4.388 Å
α = 60.00°, β = 60.00°, γ = 60.00°
Sites, in units of the cell vectors:
Ru  0.000  0.000  0.000
Zn  0.250  0.250  0.250
Au  0.500  0.500  0.500
Ga  0.750  0.750  0.750

Its crystal system is cubic.

Record 13
This record from Alexandria describes an optimized crystal structure of Ga2Au2S. The functional is PBE.

a = 7.161 Å, b = 7.161 Å, c = 3.746 Å
α = 90.00°, β = 90.00°, γ = 90.00°
Sites, in units of the cell vectors:
S  0.000  0.000  0.000
S  0.500  0.500  0.000
Au  0.360  0.860  0.000
Au  0.860  0.640  0.000
Au  0.640  0.140  0.000
Au  0.140  0.360  0.000
Ga  0.165  0.665  0.500
Ga  0.665  0.835  0.500
Ga  0.835  0.335  0.500
Ga  0.335  0.165  0.500

The distance to the lowest polymorph of the same formula is 0.0000 eV per atom. As for the uncorrected formation energy: 0.017 eV per atom. Its crystal system is tetragonal.

Record 14
This record from Alexandria describes an optimized crystal structure of GaAu2S. The functional is PBE.

a = 6.041 Å, b = 6.041 Å, c = 6.777 Å
α = 63.53°, β = 63.53°, γ = 90.00°
Sites, in units of the cell vectors:
S  0.500  0.500  0.000
S  0.250  0.750  0.500
Au  0.607  0.125  0.250
Au  0.143  0.625  0.250
Au  0.375  0.393  0.750
Au  0.875  0.857  0.750
Ga  0.000  0.000  0.000
Ga  0.750  0.250  0.500

As for the uncorrected formation energy: 0.089 eV per atom. Its crystal system is tetragonal.

Record 15
This record from Alexandria describes an optimized crystal structure of GaAuS3. The functional is PBE.

a = 4.905 Å, b = 4.905 Å, c = 4.905 Å
α = 90.00°, β = 90.00°, γ = 90.00°
Sites, in units of the cell vectors:
S  0.000  0.500  0.000
S  0.000  0.000  0.500
S  0.500  0.000  0.000
Au  0.000  0.000  0.000
Ga  0.500  0.500  0.500

The distance to the lowest polymorph of the same formula is 0.0000 eV per atom. As for the uncorrected formation energy: 0.610 eV per atom. Its crystal system is cubic.

Record 16
This record from Alexandria describes an optimized crystal structure of GaAu2S. The functional is PBE.

a = 4.689 Å, b = 4.689 Å, c = 4.689 Å
α = 60.00°, β = 60.00°, γ = 60.00°
Sites, in units of the cell vectors:
S  0.000  0.000  0.000
Au  0.250  0.250  0.250
Au  0.750  0.750  0.750
Ga  0.500  0.500  0.500

As for the uncorrected formation energy: 0.211 eV per atom. Its crystal system is cubic.

Record 17
This record from Alexandria describes an optimized crystal structure of GaAuS2. The functional is PBE.

a = 3.801 Å, b = 5.503 Å, c = 8.786 Å
α = 90.00°, β = 89.99°, γ = 88.39°
Sites, in units of the cell vectors:
Ga  0.350  0.888  0.224
Ga  0.850  0.388  0.992
Au  0.963  0.819  0.613
Au  0.463  0.319  0.603
S  0.852  0.631  0.212
S  0.639  0.596  0.787
S  0.139  0.096  0.429
S  0.352  0.131  0.004

As for the uncorrected formation energy: -0.368 eV per atom. Its crystal system is monoclinic.

Record 18
This record from Alexandria describes an optimized crystal structure of Ga2AuS. The functional is PBE.

a = 6.115 Å, b = 6.115 Å, c = 6.704 Å
α = 62.87°, β = 62.87°, γ = 90.00°
Sites, in units of the cell vectors:
S  0.500  0.500  0.000
S  0.250  0.750  0.500
Au  0.000  0.000  0.000
Au  0.750  0.250  0.500
Ga  0.619  0.125  0.250
Ga  0.131  0.625  0.250
Ga  0.375  0.381  0.750
Ga  0.875  0.869  0.750

As for the uncorrected formation energy: -0.235 eV per atom. Its crystal system is tetragonal.

Record 19
This record from Alexandria describes an optimized crystal structure of Ga2Au2S. The functional is PBE.

a = 7.171 Å, b = 7.171 Å, c = 3.769 Å
α = 90.00°, β = 90.00°, γ = 90.00°
Sites, in units of the cell vectors:
S  0.000  0.000  0.000
S  0.500  0.500  0.000
Au  0.133  0.633  0.500
Au  0.633  0.867  0.500
Au  0.867  0.367  0.500
Au  0.367  0.133  0.500
Ga  0.320  0.820  0.000
Ga  0.820  0.680  0.000
Ga  0.680  0.180  0.000
Ga  0.180  0.320  0.000

The distance to the lowest polymorph of the same formula is 0.0495 eV per atom. As for the uncorrected formation energy: 0.067 eV per atom. Its crystal system is tetragonal.

Record 20
This record from Alexandria describes an optimized crystal structure of Ga12Au3S5. The functional is PBE.

a = 13.214 Å, b = 13.214 Å, c = 13.214 Å
α = 109.47°, β = 109.47°, γ = 109.47°
Sites, in units of the cell vectors:
Au  0.750  0.375  0.125
Au  0.875  0.750  0.125
Au  0.375  0.750  0.625
Au  0.250  0.125  0.375
Au  0.875  0.125  0.250
Au  0.375  0.625  0.250
Au  0.625  0.375  0.750
Au  0.125  0.875  0.750
Au  0.750  0.875  0.625
Au  0.625  0.250  0.375
Au  0.125  0.250  0.875
Au  0.250  0.625  0.875
S  0.125  0.375  0.250
S  0.000  0.500  0.000
S  0.000  0.000  0.000
S  0.375  0.250  0.125
S  0.500  0.000  0.500
S  0.500  0.500  0.000
S  0.125  0.750  0.375
S  0.750  0.125  0.875
S  0.750  0.625  0.375
S  0.375  0.125  0.750
S  0.625  0.875  0.250
S  0.500  0.500  0.500
S  0.500  0.000  0.000
S  0.000  0.000  0.500
S  0.250  0.375  0.625
S  0.250  0.875  0.125
S  0.000  0.500  0.500
S  0.875  0.250  0.625
S  0.625  0.750  0.875
S  0.875  0.625  0.750
Ga  0.730  0.146  0.062
Ga  0.332  0.562  0.415
Ga  0.938  0.354  0.270
Ga  0.562  0.230  0.146
Ga  0.584  0.730  0.668
Ga  0.938  0.585  0.168
Ga  0.332  0.770  0.416
Ga  0.085  0.916  0.146
Ga  0.585  0.938  0.668
Ga  0.730  0.584  0.168
Ga  0.770  0.438  0.354
Ga  0.832  0.915  0.062
Ga  0.146  0.730  0.562
Ga  0.354  0.415  0.084
Ga  0.084  0.915  0.354
Ga  0.416  0.146  0.585
Ga  0.084  0.168  0.230
Ga  0.438  0.668  0.085
Ga  0.832  0.916  0.270
Ga  0.146  0.416  0.085
Ga  0.354  0.938  0.770
Ga  0.585  0.646  0.416
Ga  0.915  0.832  0.562
Ga  0.770  0.332  0.916
Ga  0.415  0.354  0.584
Ga  0.085  0.168  0.438
Ga  0.230  0.668  0.084
Ga  0.168  0.084  0.730
Ga  0.646  0.062  0.230
Ga  0.854  0.584  0.915
Ga  0.562  0.332  0.915
Ga  0.584  0.854  0.415
Ga  0.916  0.832  0.770
Ga  0.916  0.085  0.646
Ga  0.854  0.270  0.438
Ga  0.168  0.085  0.938
Ga  0.646  0.585  0.916
Ga  0.415  0.062  0.332
Ga  0.270  0.416  0.832
Ga  0.230  0.562  0.646
Ga  0.915  0.084  0.854
Ga  0.668  0.230  0.584
Ga  0.438  0.770  0.854
Ga  0.062  0.415  0.832
Ga  0.416  0.270  0.332
Ga  0.062  0.646  0.730
Ga  0.668  0.438  0.585
Ga  0.270  0.854  0.938

As for the uncorrected formation energy: -0.162 eV per atom. Its crystal system is cubic.

The records above yield calculated volume values of 61.98 167.03 68.79 64.10 61.28 137.17 120.73 65.77 110.00 62.25 113.05 59.75 192.06 192.04 118.02 72.92 183.72 191.56 193.78 1776.12 Å³/cell, respectively.
The records above yield total energy values of -4.857 -4.305 -4.384 -4.810 -4.793 -4.524 -3.557 -5.923 -3.700 -6.186 -3.653 -4.305 -3.330 -3.338 -3.127 -3.216 -4.008 -3.600 -3.280 -3.501 eV/atom, respectively.
The records above yield ρ values of 11.72 12.61 10.56 11.33 11.85 10.59 8.21 10.42 7.03 11.09 11.30 12.04 9.78 8.57 5.11 11.29 5.98 6.39 9.69 5.94 Mg/m³, respectively.